[1]
! meta-GGA SCAN TcRuPb2, single point on PBEsol structure; values from VASP
&SYSTEM
  ibrav = 0, nat = 4, ntyp = 3
/
ATOMIC_SPECIES
Tc 98.00 Tc.upf
Ru 101.07 Ru.upf
Pb 207.20 Pb.upf
CELL_PARAMETERS angstrom
0.0000 3.3608 3.3608
3.3608 0.0000 3.3608
3.3608 3.3608 0.0000
ATOMIC_POSITIONS crystal
Tc 0.0000 0.0000 0.0000
Ru 0.7500 0.7500 0.7500
Pb 0.2500 0.2500 0.2500
Pb 0.5000 0.5000 0.5000
! Spin magnetization in μB per formula unit: 2.396
! Distance to the lowest polymorph of the same formula in meV per atom: 613
! Calculated formation energy in eV per formula unit: 3.70
! Symmetry: F-43m (216)


[2]
! meta-GGA SCAN TcRuPb2, single point on PBEsol structure; values from VASP
&SYSTEM
  ibrav = 0, nat = 4, ntyp = 3
/
ATOMIC_SPECIES
Tc 98.00 Tc.upf
Ru 101.07 Ru.upf
Pb 207.20 Pb.upf
CELL_PARAMETERS angstrom
4.6585 0.0000 0.0000
0.0000 4.6585 0.0000
0.0000 0.0000 3.2857
ATOMIC_POSITIONS crystal
Tc 0.0000 0.0000 0.0000
Ru 0.5000 0.5000 0.0000
Pb 0.0000 0.5000 0.5000
Pb 0.5000 0.0000 0.5000
! Spin magnetization in μB per formula unit: 0.005
! Distance to the lowest polymorph of the same formula in meV per atom: 381
! Calculated formation energy in eV per formula unit: 2.77
! Symmetry: P4/mmm (123)


[3]
! meta-GGA SCAN TeRuPb2, single point on PBEsol structure; values from VASP
&SYSTEM
  ibrav = 0, nat = 4, ntyp = 3
/
ATOMIC_SPECIES
Te 127.60 Te.upf
Ru 101.07 Ru.upf
Pb 207.20 Pb.upf
CELL_PARAMETERS angstrom
-1.6465 2.2630 6.5918
1.6465 -2.2630 6.5918
1.6465 2.2630 -6.5918
ATOMIC_POSITIONS crystal
Te 0.0000 0.0000 0.0000
Ru 0.5000 0.5000 0.0000
Pb 0.3217 0.8217 0.5000
Pb 0.6783 0.1783 0.5000
! Spin magnetization in μB per formula unit: 0.000
! Energy relative to the elements, uncorrected in meV per atom: 238
! Symmetry: Immm (71)


Number 1: D(E_F) 0.479 states/eV/atom. Number 2: D(E_F) 0.901 states/eV/atom. Number 3: D(E_F) 0.779 states/eV/atom.